CdIn7Hg3 | PBE-GGA | relaxed

a b c (Å): 7.5433 6.7820 6.7820
angles (deg): 120.00 90.00 90.00
Positions (direct):
Hg: 0.7807 0.0054 0.5027
Cd: 0.4297 0.3333 0.6667
In: 0.4686 0.8390 0.6780
Hg: 0.7807 0.4973 0.5027
In: 0.1294 0.6667 0.3333
In: 0.4686 0.8390 0.1610
In: 0.1027 0.6780 0.8390
Hg: 0.7807 0.4973 0.9946
In: 0.4686 0.3220 0.1610
In: 0.1027 0.1610 0.8390
In: 0.1027 0.1610 0.3220

The value obtained for the total energy is -1.88 eV per atom. The calculation puts the total magnetization at 0.000 μB per atom. As for the formation energy: 0.03 eV per atom.


NaAcSm | PBE-GGA | relaxed

a b c (Å): 3.7563 3.7563 8.7308
angles (deg): 102.42 102.42 90.00
Positions (direct):
Na: 0.0052 0.0052 0.0103
Ac: 0.3262 0.3262 0.6525
Sm: 0.6686 0.6686 0.3372

The value obtained for the total energy is -3.24 eV per atom. For the energy above the most stable polymorph in this dataset, the calculation gives 0.015 eV per atom. The calculation puts the total magnetization at 0.000 μB per atom. As for the formation energy: 0.14 eV per atom.


La2CeSm | PBE-GGA | relaxed

a b c (Å): 5.8383 5.8383 5.8383
angles (deg): 60.00 60.00 60.00
Site moments in Bohr magnetons follow the coordinates.
Positions (direct):
Sm: 0.5000 0.5000 0.5000  0.26
Ce: 0.0000 0.0000 0.0000  1.13
La: 0.7500 0.7500 0.7500  0.28
La: 0.2500 0.2500 0.2500  0.28

The value obtained for the total energy is -4.93 eV per atom. For the energy above the most stable polymorph in this dataset, the calculation gives 0.141 eV per atom. The calculation puts the total magnetization at 0.806 μB per atom. As for the formation energy: 0.19 eV per atom.


NaLuCdHg | PBE-GGA | relaxed

a b c (Å): 5.1443 5.1443 5.1443
angles (deg): 60.00 60.00 60.00
Positions (direct):
Hg: 0.2500 0.2500 0.2500
Cd: 0.7500 0.7500 0.7500
Lu: 0.5000 0.5000 0.5000
Na: 0.0000 0.0000 0.0000

The value obtained for the total energy is -1.95 eV per atom. The calculation puts the total magnetization at 0.000 μB per atom. As for the formation energy: -0.19 eV per atom.


CdCS2 | PBE-GGA | relaxed

a b c (Å): 5.2327 5.2327 6.6459
angles (deg): 66.82 66.82 90.00
Positions (direct):
S: 0.5314 0.1250 0.2500
C: 0.5000 0.5000 0.0000
S: 0.8750 0.7814 0.7500
S: 0.3750 0.4686 0.7500
C: 0.2500 0.7500 0.5000
Cd: 0.7500 0.2500 0.5000
S: 0.2186 0.6250 0.2500
Cd: 0.0000 0.0000 0.0000

The value obtained for the total energy is -3.78 eV per atom. For the energy above the most stable polymorph in this dataset, the calculation gives 0.452 eV per atom. The calculation puts the total magnetization at 0.000 μB per atom. The calculation puts the uncorrected formation energy at 0.817 eV per atom.


Ce2AgC | PBE-GGA | relaxed

a b c (Å): 3.1923 3.1923 7.6267
angles (deg): 90.00 90.00 90.00
Site moments in Bohr magnetons follow the coordinates.
Positions (direct):
C: 0.5000 0.5000 0.0000  -0.03
Ag: 0.5000 0.5000 0.5000  0.01
Ce: 0.0000 0.0000 0.8203  0.49
Ce: 0.0000 0.0000 0.1797  0.49

The value obtained for the total energy is -5.99 eV per atom. For the energy above the most stable polymorph in this dataset, the calculation gives 0.119 eV per atom. The calculation puts the total magnetization at 0.301 μB per atom. As for the formation energy: 0.00 eV per atom.


Please write out number 6 again, unchanged.
Ce2AgC | PBE-GGA | relaxed

a b c (Å): 3.1923 3.1923 7.6267
angles (deg): 90.00 90.00 90.00
Site moments in Bohr magnetons follow the coordinates.
Positions (direct):
C: 0.5000 0.5000 0.0000  -0.03
Ag: 0.5000 0.5000 0.5000  0.01
Ce: 0.0000 0.0000 0.8203  0.49
Ce: 0.0000 0.0000 0.1797  0.49

The value obtained for the total energy is -5.99 eV per atom. For the energy above the most stable polymorph in this dataset, the calculation gives 0.119 eV per atom. The calculation puts the total magnetization at 0.301 μB per atom. As for the formation energy: 0.00 eV per atom.


- What is the formula in the third record?
  La2CeSm